(1)
A relaxed structure of Tb2Ho3Mg2, computed with PBE.

## Properties
The density of states at the Fermi level comes out at 1.3226 states/eV per atom. As for the space group: Cmmm (65).

a = 3.722 Å, b = 3.633 Å, c = 15.430 Å
α = 90.00°, β = 96.93°, γ = 90.00°
Element x y z (fractional)
Mg 0.140 0.000 0.280
Mg 0.860 0.000 0.720
Tb 0.297 0.500 0.593
Tb 0.703 0.500 0.407
Ho 0.422 0.500 0.844
Ho 0.578 0.500 0.156
Ho 0.000 0.000 0.000


(2)
A relaxed structure of Tb6Ho12Mg, computed with PBE.

## Properties
The density of states at the Fermi level comes out at 1.6561 states/eV per atom. As for the space group: R-3m (166).

a = 8.570 Å, b = 8.570 Å, c = 8.570 Å
α = 97.33°, β = 97.33°, γ = 97.33°
Element x y z (fractional)
Tb 0.864 0.591 0.864
Tb 0.136 0.409 0.136
Tb 0.864 0.864 0.591
Tb 0.136 0.136 0.409
Tb 0.409 0.136 0.136
Tb 0.591 0.864 0.864
Ho 0.738 0.000 0.262
Ho 0.262 0.000 0.738
Ho 0.167 0.590 0.590
Ho 0.738 0.262 0.000
Ho 0.000 0.738 0.262
Ho 0.410 0.410 0.833
Ho 0.590 0.167 0.590
Ho 0.590 0.590 0.167
Ho 0.262 0.738 0.000
Ho 0.000 0.262 0.738
Ho 0.833 0.410 0.410
Ho 0.410 0.833 0.410
Mg 0.000 0.000 0.000


(3)
A relaxed structure of Tb5Ho3Mg, computed with PBE.

## Properties
The density of states at the Fermi level comes out at 1.5076 states/eV per atom. As for the space group: C2/m (12).

a = 9.949 Å, b = 9.949 Å, c = 9.130 Å
α = 57.56°, β = 57.56°, γ = 70.45°
Element x y z (fractional)
Tb 0.448 0.448 0.743
Tb 0.596 0.071 0.669
Tb 0.816 0.816 0.950
Tb 0.552 0.552 0.257
Tb 0.184 0.184 0.050
Tb 0.071 0.596 0.669
Tb 0.929 0.404 0.331
Tb 0.404 0.929 0.331
Tb 0.257 0.743 0.000
Tb 0.743 0.257 0.000
Mg 0.133 0.133 0.588
Mg 0.867 0.867 0.412
Ho 0.643 0.643 0.819
Ho 0.700 0.700 0.391
Ho 0.000 0.000 0.500
Ho 0.300 0.300 0.609
Ho 0.000 0.000 0.000
Ho 0.357 0.357 0.181


(4)
A relaxed structure of Tb4HoMg7, computed with PBE.

## Properties
The density of states at the Fermi level comes out at 1.1008 states/eV per atom. As for the space group: C2/m (12).

a = 5.655 Å, b = 10.838 Å, c = 6.402 Å
α = 87.12°, β = 63.79°, γ = 74.88°
Element x y z (fractional)
Tb 0.241 0.327 0.191
Tb 0.759 0.673 0.809
Tb 0.616 0.221 0.548
Tb 0.384 0.779 0.452
Mg 0.369 0.505 0.757
Mg 0.631 0.495 0.243
Mg 0.930 0.318 0.822
Mg 0.221 0.077 0.481
Mg 0.500 0.000 0.000
Mg 0.779 0.923 0.519
Mg 0.070 0.682 0.178
Ho 0.000 0.000 0.000


| no. | formation enthalpy at 0 K (eV/atom) | total magnetization (μB per cell) | raw total energy (eV per cell) |
| --- | --- | --- | --- |
| 1 | 0.055 | 0.0 | -25.80 |
| 2 | 0.140 | 0.0 | -81.65 |
| 3 | 0.613 | 0.0 | -65.93 |
| 4 | 0.149 | 0.0 | -32.47 |